Compound: Te5S12Cl3
Source: the Alexandria database
Functional: PBE
Structure: relaxed

Summary:
Its total energy is -489.37 eV for the cell shown.

Lattice parameters (Å, degrees): 16.2063 16.2063 16.2063 90.00 90.00 90.00
Space group Ia-3d (No. 230)
Symmetry-distinct sites (fractional):
Te (0.0000, 0.0000, 0.0000) (multiplicity 16)
Te (0.0000, 0.2500, 0.3750) (multiplicity 24)
S (0.0416, 0.0717, 0.6481) (multiplicity 96)
Cl (0.0000, 0.2500, 0.1250) (multiplicity 24)

Compound: Te3SCl
Source: the Alexandria database
Functional: PBE
Structure: relaxed

Summary:
The relative energy among the computed polymorphs comes out at 0.896 eV per atom.

Lattice parameters (Å, degrees): 5.3668 5.3668 5.3668 90.00 90.00 90.00
Space group Pm-3m (No. 221)
Symmetry-distinct sites (fractional):
Te (0.0000, 0.0000, 0.5000) (multiplicity 3)
S (0.5000, 0.5000, 0.5000) (multiplicity 1)
Cl (0.0000, 0.0000, 0.0000) (multiplicity 1)

Compound: TeS4Cl4
Source: the Alexandria database
Functional: PBE
Structure: relaxed

Summary:
Its total energy is -56.20 eV for the cell shown.

Lattice parameters (Å, degrees): 6.7814 11.8238 8.1066 90.00 108.05 90.00
Space group P2/c (No. 13)
Symmetry-distinct sites (fractional):
Te (0.0000, 0.2074, 0.2500) (multiplicity 2)
S (0.0954, 0.0084, 0.1179) (multiplicity 4)
S (0.3704, 0.4777, 0.5056) (multiplicity 4)
Cl (0.1253, 0.3500, 0.0644) (multiplicity 4)
Cl (0.3557, 0.1951, 0.4660) (multiplicity 4)

Compound: TeS6Cl
Source: the Alexandria database
Functional: PBE
Structure: relaxed

Summary:
Its total energy is -55.24 eV for the cell shown.

Lattice parameters (Å, degrees): 7.8534 15.6286 5.4850 90.00 127.76 90.00
Space group C2/m (No. 12)
Symmetry-distinct sites (fractional):
Te (0.0000, 0.0000, 0.0000) (multiplicity 2)
S (0.1131, 0.5000, 0.4746) (multiplicity 4)
S (0.1559, 0.2635, 0.1205) (multiplicity 8)
Cl (0.0000, 0.0000, 0.5000) (multiplicity 2)

Compound: Te2SCl
Source: the Alexandria database
Functional: PBE
Structure: relaxed

Summary:
The relative energy among the computed polymorphs comes out at 0.178 eV per atom.

Lattice parameters (Å, degrees): 3.5737 3.5737 28.0962 90.00 90.00 120.00
Space group R-3m (No. 166, hexagonal axes)
Symmetry-distinct sites (fractional):
Te (0.0000, 0.0000, 0.0958) (multiplicity 6)
S (0.0000, 0.0000, 0.5000) (multiplicity 3)
Cl (0.0000, 0.0000, 0.0000) (multiplicity 3)

Compound: Te3SCl
Source: the Alexandria database
Functional: PBE
Structure: relaxed

Summary:
The relative energy among the computed polymorphs comes out at 0.000 eV per atom.

Lattice parameters (Å, degrees): 6.2134 6.2134 26.6493 90.00 90.00 120.00
Space group R3c (No. 161, hexagonal axes)
Symmetry-distinct sites (fractional):
Te (0.0064, 0.4364, 0.0000) (multiplicity 18)
S (0.0000, 0.0000, 0.2490) (multiplicity 6)
Cl (0.0000, 0.0000, 0.4457) (multiplicity 6)

Compound: TeS2Cl2
Source: the Alexandria database
Functional: PBE
Structure: relaxed

Summary:
Its total energy is -32.25 eV for the cell shown.

Lattice parameters (Å, degrees): 7.0794 7.5208 7.9856 104.99 95.30 117.25
Space group P-1 (No. 2)
Symmetry-distinct sites (fractional):
Te (0.0933, 0.2501, 0.4053) (multiplicity 2)
S (0.0152, 0.0922, 0.8088) (multiplicity 2)
S (0.2025, 0.9461, 0.4105) (multiplicity 2)
Cl (0.1870, 0.6756, 0.7185) (multiplicity 2)
Cl (0.3637, 0.4555, 0.2499) (multiplicity 2)

Compound: Te3SCl
Source: the Alexandria database
Functional: PBE
Structure: relaxed

Summary:
The relative energy among the computed polymorphs comes out at 0.291 eV per atom.

Lattice parameters (Å, degrees): 5.2895 5.2895 5.2895 90.00 90.00 90.00
Space group Pm-3m (No. 221)
Symmetry-distinct sites (fractional):
Te (0.0000, 0.0000, 0.5000) (multiplicity 3)
S (0.0000, 0.0000, 0.0000) (multiplicity 1)
Cl (0.5000, 0.5000, 0.5000) (multiplicity 1)

Compound: Te2SCl
Source: the Alexandria database
Functional: PBE
Structure: relaxed

Summary:
The relative energy among the computed polymorphs comes out at 0.000 eV per atom.

Lattice parameters (Å, degrees): 8.8097 5.5840 9.4777 90.00 90.04 90.00
Space group P2/c (No. 13)
Symmetry-distinct sites (fractional):
Te (0.0972, 0.2323, 0.1125) (multiplicity 4)
Te (0.3726, 0.1680, 0.3411) (multiplicity 4)
S (0.0980, 0.2304, 0.5816) (multiplicity 4)
Cl (0.3531, 0.3380, 0.8615) (multiplicity 4)

Compound: VTeS2Cl
Source: the Alexandria database
Functional: PBE
Structure: relaxed

Summary:
The relative energy among the computed polymorphs comes out at 0.000 eV per atom.

Lattice parameters (Å, degrees): 4.7279 4.7279 4.6471 90.00 90.00 90.00
Space group P4/mmm (No. 123)
Symmetry-distinct sites (fractional):
V (0.0000, 0.0000, 0.0000) (multiplicity 1)
Te (0.5000, 0.5000, 0.5000) (multiplicity 1)
S (0.0000, 0.5000, 0.0000) (multiplicity 2)
Cl (0.0000, 0.0000, 0.5000) (multiplicity 1)

Compound: VTeS2Cl
Source: the Alexandria database
Functional: PBE
Structure: relaxed

Summary:
The relative energy among the computed polymorphs comes out at 0.769 eV per atom.

Lattice parameters (Å, degrees): 5.1505 5.1505 5.0757 90.00 90.00 90.00
Space group P4/mmm (No. 123)
Symmetry-distinct sites (fractional):
V (0.0000, 0.0000, 0.0000) (multiplicity 1)
Te (0.5000, 0.5000, 0.5000) (multiplicity 1)
S (0.0000, 0.5000, 0.5000) (multiplicity 2)
Cl (0.5000, 0.5000, 0.0000) (multiplicity 1)